No. 1
Here is a relaxed structure of Nd4Ho4Er from Alexandria via LeMat-Bulk. Energies are from PBE.

Unit cell a=5.060 b=8.037 c=8.037 alpha=84.31 beta=71.65 gamma=71.65
Element x y z (fractional)
Nd 0.334 0.333 0.000
Nd 0.334 0.000 0.333
Ho 0.000 0.665 0.335
Nd 0.666 0.667 0.000
Nd 0.666 0.000 0.667
Ho 0.335 0.665 0.665
Er 0.000 0.000 0.000
Ho 0.665 0.335 0.335
Ho 0.000 0.335 0.665

Computed properties:
Its formation energy is 19 meV/atom.

No. 2
Here is a relaxed structure of AcHf2TaO8 from Alexandria via LeMat-Bulk. Energies are from PBE.

Unit cell a=4.983 b=4.978 c=6.804 alpha=90.00 beta=90.00 gamma=88.07
Element x y z (fractional)
Hf 0.500 0.500 0.756
Ta 0.000 0.000 0.000
O 0.295 0.294 0.000
O 0.705 0.706 0.000
O 0.665 0.669 0.500
O 0.202 0.796 0.205
O 0.798 0.204 0.795
O 0.335 0.331 0.500
O 0.202 0.796 0.795
O 0.798 0.204 0.205
Ac 0.000 0.000 0.500
Hf 0.500 0.500 0.244

Computed properties:
The uncorrected formation energy comes out at -3.2346 eV per atom.

No. 3
Here is a relaxed structure of Mg2Cd5Au5 from Alexandria via LeMat-Bulk. Energies are from PBE.

Unit cell a=4.858 b=4.858 c=12.960 alpha=82.79 beta=82.78 gamma=53.83
Element x y z (fractional)
Cd 0.701 0.701 0.922
Au 0.832 0.832 0.429
Cd 0.825 0.825 0.666
Au 0.597 0.597 0.174
Au 0.000 0.000 0.000
Mg 0.097 0.097 0.780
Au 0.403 0.403 0.826
Mg 0.903 0.903 0.220
Au 0.168 0.168 0.571
Cd 0.175 0.175 0.334
Cd 0.299 0.299 0.078
Cd 0.500 0.500 0.500

Computed properties:
Its formation energy is -247 meV/atom.